1.
Entry from Alexandria: a relaxed structure of CdRe2Tc (PBE).

CIF file:
```
data_CdRe2Tc
_chemical_formula_sum 'Cd1 Re2 Tc1'
_symmetry_space_group_name_H-M 'P 1'
_symmetry_Int_Tables_number 1
_symmetry_space_group_name_Hall 'P 1'
_cell_length_a 2.8040
_cell_length_b 4.0390
_cell_length_c 5.7336
_cell_angle_alpha 90.00
_cell_angle_beta 90.00
_cell_angle_gamma 90.00
loop_
_atom_site_label
_atom_site_type_symbol
_atom_site_fract_x
_atom_site_fract_y
_atom_site_fract_z
_atom_site_occupancy
Cd1 Cd 0.5000 0.5000 0.7500 1
Re1 Re 0.0000 0.0000 0.0362 1
Tc1 Tc 0.5000 0.5000 0.2500 1
Re2 Re 0.0000 0.0000 0.4638 1
```

The calculation puts the raw total energy at -34.5 eV for the cell shown. The total moment is 0.0 μB/f.u. The density of states at the Fermi level is 3.72 states/eV/f.u. The value obtained for the density is 14.9 g cm⁻³.

2.
Entry from Alexandria: a relaxed structure of CdRe2Tc (PBE).

CIF file:
```
data_CdRe2Tc
_chemical_formula_sum 'Cd1 Re2 Tc1'
_symmetry_space_group_name_H-M 'P 1'
_symmetry_Int_Tables_number 1
_symmetry_space_group_name_Hall 'P 1'
_cell_length_a 9.5652
_cell_length_b 9.5652
_cell_length_c 9.5652
_cell_angle_alpha 16.85
_cell_angle_beta 16.85
_cell_angle_gamma 16.85
loop_
_atom_site_label
_atom_site_type_symbol
_atom_site_fract_x
_atom_site_fract_y
_atom_site_fract_z
_atom_site_occupancy
Re1 Re 0.7505 0.7505 0.7505 1
Re2 Re 0.0064 0.0064 0.0064 1
Cd1 Cd 0.2493 0.2493 0.2493 1
Tc1 Tc 0.4939 0.4939 0.4939 1
```

The calculation puts the raw total energy at -35.3 eV for the cell shown. The total moment is 0.0 μB/f.u. The density of states at the Fermi level is 2.44 states/eV/f.u. The value obtained for the density is 15.1 g cm⁻³.